First-principles (GGA-PBE) data for an optimized crystal structure of SmDy2Ag, as listed in Alexandria.

CIF file:
```
data_SmDy2Ag
_cell_length_a 3.6095
_cell_length_b 3.6095
_cell_length_c 31.2252
_cell_angle_alpha 90.00
_cell_angle_beta 90.00
_cell_angle_gamma 120.00
_space_group_name_H-M_alt 'R 3 m'
_space_group_IT_number 160
_space_group_name_Hall 'R 3 -2"'
loop_
_atom_site_label
_atom_site_type_symbol
_atom_site_fract_x
_atom_site_fract_y
_atom_site_fract_z
_atom_site_occupancy
Sm1 Sm 0.0000 0.0000 0.0000 1
Dy1 Dy 0.0000 0.0000 0.2399 1
Dy2 Dy 0.0000 0.0000 0.4266 1
Ag1 Ag 0.0000 0.0000 0.8332 1
```

For the total magnetization, the calculation gives 0.0 μB/cell. The calculated formation energy is -2 kJ/mol of formula units. As for the polymorph energy (0 for the lowest one): 0.129 eV per atom. As for the total energy: -0.3086 Ry per atom. The value obtained for the density of states at the Fermi level is 15.09 states/eV/cell.